(1)
Material: Tb3GaCoS7
Method: DFT, GGA-PBE
State: relaxed

Cell: 9.5613 9.5613 6.1788 Å, 90.00 90.00 120.00°
Each line ends with the local moment (μB).
Sites, in units of the cell vectors:
Tb 0.1576 0.3739 0.8247  0.02
Tb 0.7836 0.1576 0.3247  0.02
Tb 0.2164 0.8424 0.8247  0.02
Tb 0.6261 0.7836 0.8247  0.02
Tb 0.8424 0.6261 0.3247  0.02
Tb 0.3739 0.2164 0.3247  0.02
S 0.0850 0.5647 0.5540  0.00
S 0.1253 0.9033 0.2275  0.02
S 0.0967 0.2220 0.2275  0.02
S 0.3333 0.6667 0.0335  0.00
S 0.4797 0.9150 0.5540  0.00
S 0.6667 0.3333 0.5335  0.00
S 0.5203 0.0850 0.0540  0.00
S 0.5647 0.4797 0.0540  0.00
S 0.8747 0.0967 0.7275  0.02
S 0.4353 0.5203 0.5540  0.00
S 0.9033 0.7780 0.7275  0.02
S 0.9150 0.4353 0.0540  0.00
S 0.2220 0.1253 0.7275  0.02
S 0.7780 0.8747 0.2275  0.02
Ga 0.6667 0.3333 0.8988  0.00
Ga 0.3333 0.6667 0.3988  0.00
Co 0.0000 0.0000 0.4818  0.80
Co 0.0000 0.0000 0.9818  0.80

**Calculated volume**: 244.59 Å³/f.u.
**Formation energy without anion corrections**: -1.468 eV per atom
**Total magnetic moment**: 1.96 μB/cell


(2)
Material: LaHo2Be
Method: DFT, GGA-PBE
State: relaxed

Cell: 3.4563 3.4563 8.9247 Å, 90.00 90.00 90.00°
Sites, in units of the cell vectors:
Be 0.5000 0.5000 0.0000
La 0.5000 0.5000 0.5000
Ho 0.0000 0.0000 0.1828
Ho 0.0000 0.0000 0.8172

**ΔH_f (0 K)**: 0.07 eV per atom
**Calculated volume**: 106.62 Å³/f.u.
**Total magnetic moment**: 0.01 μB/cell